4
Lattice="-2.105 0.242 1.274 0.806 -2.962 1.895 2.434 2.884 3.473" Properties=species:S:1:pos:R:3 comment="Cr2CoCu, relaxed, DFT PBE-GGA" polymorph_energy_ev_per_atom=0.085 formation_enthalpy_0k_mev_per_atom=240.2 vol_a3_per_cell=46 pbc="T T T"
Co 1.191 0.822 4.212
Cr 2.408 2.854 3.437
Cr -0.042 -0.640 2.452
Cu 1.227 1.454 1.751

=====

4
Lattice="-0.248 1.310 2.059 -2.380 -0.587 0.087 1.658 -6.119 4.093" Properties=species:S:1:pos:R:3 comment="Cr2CoCu, relaxed, DFT PBE-GGA" polymorph_energy_ev_per_atom=0.043 formation_enthalpy_0k_mev_per_atom=198.8 vol_a3_per_cell=45 pbc="T T T"
Co -0.070 -4.227 4.143
Cr 1.635 -6.032 4.035
Cr 0.853 -3.146 2.105
Cu -0.899 -1.168 2.096

=====

4
Lattice="-3.367 -1.141 1.917 0.196 -2.195 -0.962 2.595 -1.919 3.416" Properties=species:S:1:pos:R:3 comment="CrCo2Cu, relaxed, DFT PBE-GGA" formation_enthalpy_0k_mev_per_atom=229.0 vol_a3_per_cell=45 pbc="T T T"
Co 0.020 -0.089 -0.018
Co 1.376 -1.969 1.245
Cr -0.985 -1.599 1.572
Cu 0.410 -3.656 2.799

=====

5
Lattice="4.179 0.000 0.000 0.000 4.179 0.000 0.000 0.000 4.179" Properties=species:S:1:pos:R:3 comment="Cr3CoCu, relaxed, DFT PBE-GGA" polymorph_energy_ev_per_atom=0.000 formation_enthalpy_0k_mev_per_atom=1322.6 vol_a3_per_cell=73 pbc="T T T"
Cr 0.000 2.089 0.000
Cr 0.000 0.000 2.089
Cr 2.089 0.000 0.000
Co 0.000 0.000 0.000
Cu 2.089 2.089 2.089

=====

4
Lattice="4.454 -0.004 -0.016 1.726 4.106 0.016 -3.081 -2.065 2.467" Properties=species:S:1:pos:R:3 comment="CrCo2Cu, relaxed, DFT PBE-GGA" formation_enthalpy_0k_mev_per_atom=186.8 vol_a3_per_cell=45 pbc="T T T"
Co 6.180 4.102 0.000
Co 2.232 -0.009 1.225
Cr 3.090 2.051 0.000
Cu 0.867 2.046 1.241

=====

4
Lattice="-3.103 -7.578 -2.479 -0.812 -8.324 -1.802 -2.627 -8.142 -0.088" Properties=species:S:1:pos:R:3 comment="Cr2CoCu, relaxed, DFT PBE-GGA" polymorph_energy_ev_per_atom=0.097 formation_enthalpy_0k_mev_per_atom=252.5 vol_a3_per_cell=46 pbc="T T T"
Co -4.906 -18.033 -3.277
Cr -0.024 -0.089 -0.016
Cr -3.247 -11.933 -2.168
Cu -1.635 -6.011 -1.092

=====

4
Lattice="4.501 0.000 0.000 1.827 4.114 0.000 -3.164 -2.057 2.454" Properties=species:S:1:pos:R:3 comment="Cr2CoCu, relaxed, DFT PBE-GGA" polymorph_energy_ev_per_atom=0.079 formation_enthalpy_0k_mev_per_atom=234.3 vol_a3_per_cell=45 pbc="T T T"
Co 2.251 0.000 1.227
Cr 0.000 0.000 0.000
Cr 3.164 2.057 0.000
Cu 0.913 2.057 1.227

=====

4
Lattice="4.330 0.016 0.000 -1.356 4.112 0.000 0.000 0.000 2.499" Properties=species:S:1:pos:R:3 comment="CrCo2Cu, relaxed, DFT PBE-GGA" formation_enthalpy_0k_mev_per_atom=229.7 vol_a3_per_cell=45 pbc="T T T"
Co 0.000 0.000 0.000
Co 1.487 2.064 0.000
Cr 2.165 0.008 1.249
Cu -0.678 2.056 1.249